Compound: Cd2PbO3
Source: Alexandria
Functional: PBE
Structure: optimized geometry

Values from the calculation:
E ... -4.365 eV per atom
Crystal system ... monoclinic

abc: 10.9758 5.0575 6.9213
angles: 90.00 108.39 90.00
With the nearest neighbours (Å) after each atom.
Space group C2/c (No. 15)
Unique sites:
Cd (0.1675, 0.9996, 0.0836)  6 O 2.32-2.54
Pb (0.0000, 0.4981, 0.2500)  6 O 2.41-2.65
O (0.0000, 0.0257, 0.7500)  2 Pb 2.41-2.65, 4 Cd 2.46
O (0.1834, 0.4989, 0.5918)  4 Cd 2.32-2.54, 2 Pb 2.58